1.
4
Lattice="3.070 -0.055 0.000 -0.647 3.001 0.000 0.000 0.000 10.874" Properties=species:S:1:pos:R:3 comment="CdHg2Te, optimized geometry, DFT PBEsol" raw_formation_energy_kj_per_mol_fu=31.2 de_polymorph_mev_per_atom=36.9 n_ef_per_ev_fu=1.87 pbc="T T T"
Hg 0.000 0.000 8.331
Cd 1.211 1.473 0.000
Te 1.211 1.473 5.437
Hg 0.000 0.000 2.542



2.
3
Lattice="-0.769 2.722 -3.159 1.037 -4.018 -0.869 -4.630 -1.212 0.082" Properties=species:S:1:pos:R:3 comment="BaCrP, optimized geometry, DFT PBEsol" ef_mev_per_atom=-301.2 n_ef_per_ev_fu=1.94 pbc="T T T"
P -2.482 -0.131 -2.355
Ba 0.000 0.000 0.000
Cr -1.880 -2.378 -1.591



3.
4
Lattice="-1.472 -0.629 -3.268 -2.281 -2.411 1.491 -5.327 5.830 1.278" Properties=species:S:1:pos:R:3 comment="LiLa2Cr, optimized geometry, DFT PBEsol" ef_mev_per_atom=356.5 n_ef_per_ev_fu=3.91 pbc="T T T"
La -4.148 4.540 0.995
La -1.179 1.291 0.283
Li -4.540 1.396 -0.249
Cr -1.876 -1.520 -0.888